<P>
Density functional theory data (PBE) for crystalline Pm4Tm5In at its relaxed geometry.

extended XYZ file:
```
10
Lattice="3.5797 0.0000 0.0000 0.0000 3.5797 0.0000 0.0000 0.0000 24.1831" Properties=species:S:1:pos:R:3 pbc="T T T"
Pm 0.0000 0.0000 4.5436
Pm 0.0000 0.0000 9.5911
Pm 0.0000 0.0000 14.5920
Pm 0.0000 0.0000 19.6395
Tm 1.7898 1.7898 2.0472
Tm 1.7898 1.7898 7.0959
Tm 1.7898 1.7898 12.0915
Tm 1.7898 1.7898 17.0871
Tm 1.7898 1.7898 22.1359
In 0.0000 0.0000 0.0000
```

**Size of the total moment**: 0.0000 μB per atom


<Q>
Density functional theory data (PBE) for crystalline Pm4Tm5In at its relaxed geometry.

extended XYZ file:
```
10
Lattice="5.7622 0.0000 0.0000 2.8811 7.5396 0.0000 2.8811 0.0000 7.5396" Properties=species:S:1:pos:R:3 pbc="T T T"
Pm 5.5134 2.3514 5.1884
Pm 8.3945 5.1884 5.1882
Pm 2.6323 2.3512 2.3514
Pm 5.5134 5.1882 2.3512
Tm 8.3958 2.7772 7.5394
Tm 5.5147 7.5394 4.7624
Tm 5.5147 0.0002 2.7772
Tm 2.6336 4.7624 0.0002
Tm 3.8599 0.0000 0.0000
In 1.0657 0.0000 0.0000
```

**Size of the total moment**: 0.0000 μB per atom


Which of them is most stable, and which least? Most stable: <P>; least stable: <Q>.


<P>
Density functional theory data (PBE) for crystalline Pm2Tm4In at its relaxed geometry.

extended XYZ file:
```
14
Lattice="-0.4945 -3.2001 -4.7837 6.3603 -1.6796 0.4661 -2.5211 -7.1351 8.6911" Properties=species:S:1:pos:R:3 pbc="T T T"
Pm 4.4277 -3.2543 -2.1643
Pm -1.0830 -8.7605 6.5378
Pm 0.3917 -4.2889 2.5278
Pm 2.9530 -7.7259 1.8456
Tm 2.1043 -4.8997 -0.3069
Tm 2.0811 -10.6462 3.2209
Tm 1.2636 -1.3686 1.1526
Tm -0.9953 -4.0811 -0.5340
Tm -0.2492 -7.1604 0.9254
Tm 4.3400 -7.9337 4.9075
Tm 1.2404 -7.1151 4.6803
Tm 3.5939 -4.8544 3.4480
In 4.2829 -2.8821 1.1528
In -0.9382 -9.1327 3.2207
```

**Size of the total moment**: 0.0000 μB per atom


<Q>
Density functional theory data (PBE) for crystalline Pm2Tm4In at its relaxed geometry.

extended XYZ file:
```
14
Lattice="-9.4422 -4.4724 1.8891 1.2020 -4.4490 -4.5248 2.5970 -3.6683 4.2960" Properties=species:S:1:pos:R:3 pbc="T T T"
Tm -3.8325 -10.0056 1.9060
Tm -4.4569 -6.7425 0.8419
Tm -5.6510 -9.8173 -1.0614
Tm -4.4348 -7.7817 4.1686
Tm -1.2083 -4.8080 -2.5083
Tm 0.0079 -2.7724 2.7217
Tm -1.1861 -5.8472 0.8184
Tm -1.8106 -2.5841 -0.2457
In 0.0000 0.0000 0.0000
In -4.1201 -4.4607 -1.3179
Pm -7.7739 -7.4470 0.6513
Pm 2.1309 -5.1427 1.0090
Pm -2.3894 -4.7746 4.0555
Pm -3.2536 -7.8151 -2.3952
```

**Size of the total moment**: 0.0000 μB per atom


Which of them is most stable, and which least? Most stable: <Q>; least stable: <P>.


<P>
Density functional theory data (PBE) for crystalline Pm2Tm3In at its relaxed geometry.

extended XYZ file:
```
12
Lattice="-0.4492 -3.9328 3.2002 9.1622 1.4587 -0.9726 -4.0981 7.2227 4.2494" Properties=species:S:1:pos:R:3 pbc="T T T"
Pm 8.0629 0.9046 0.2161
Pm -1.2365 4.9468 3.8783
Pm -3.4481 3.8441 6.2609
Pm 5.8513 -0.1981 2.5987
Tm 0.4152 2.8345 1.5159
Tm 2.2945 -0.0464 2.2875
Tm 4.5811 0.7294 -0.4863
Tm 4.1996 1.9142 4.9611
Tm -2.2737 1.6450 3.7248
Tm 2.3203 4.7951 4.1895
In 3.8161 2.7505 1.8885
In 0.7987 1.9981 4.5885
```

**Size of the total moment**: 0.0000 μB per atom


<Q>
Density functional theory data (PBE) for crystalline Pm2Tm3In at its relaxed geometry.

extended XYZ file:
```
6
Lattice="-4.6238 -0.7950 -1.4036 1.5814 -2.8696 -3.5839 -1.1637 -4.5122 6.3891" Properties=species:S:1:pos:R:3 pbc="T T T"
Pm 0.6700 -3.3591 -0.3044
Pm -0.2523 -4.0228 3.1097
Tm -2.4350 -2.3599 0.8152
Tm -1.5212 -1.8323 -2.4938
Tm -1.7711 -5.8169 0.5864
In 0.0000 0.0000 0.0000
```

**Size of the total moment**: 0.0000 μB per atom


Which of them is most stable, and which least? Most stable: <Q>; least stable: <P>.


<P>
Density functional theory data (PBE) for crystalline Pm2Tm3In3 at its relaxed geometry.

extended XYZ file:
```
8
Lattice="4.4840 0.0000 -0.7221 -0.1821 4.7011 -1.1305 -0.5993 0.0264 10.5610" Properties=species:S:1:pos:R:3 pbc="T T T"
Pm 0.7111 3.5793 4.4154
Pm 2.9915 1.1482 4.2930
Tm 1.1892 1.8217 7.3840
Tm 2.5134 2.9058 1.3243
Tm 2.2420 0.0000 -0.3611
In 3.3244 4.1481 6.3597
In -0.0910 2.3506 -0.5652
In 0.3782 0.5794 2.3486
```

**Size of the total moment**: 0.0000 μB per atom


<Q>
Density functional theory data (PBE) for crystalline Pm2Tm3In3 at its relaxed geometry.

extended XYZ file:
```
8
Lattice="-3.8153 2.9504 -0.7533 0.1809 -1.0015 -4.8393 -5.7321 -7.0923 1.2535" Properties=species:S:1:pos:R:3 pbc="T T T"
Pm -4.2624 -5.2739 0.9321
Pm -1.4697 -1.8184 0.3214
Tm -6.0096 -4.2128 -1.8795
Tm -3.3569 -0.9306 -2.4596
Tm -1.9076 1.4752 -0.3766
In -4.7737 -2.0710 0.2501
In 0.0905 -0.5008 -2.4196
In -2.7756 -4.0469 -1.7929
```

**Size of the total moment**: 0.0000 μB per atom


Which of them is most stable, and which least? Most stable: <Q>; least stable: <P>.


<P>
Density functional theory data (PBE) for crystalline Pm5TmIn2 at its relaxed geometry.

extended XYZ file:
```
16
Lattice="-4.7416 1.1470 0.6274 -0.6729 -5.2625 4.5354 3.4590 8.5759 10.4640" Properties=species:S:1:pos:R:3 pbc="T T T"
Pm 0.0000 0.0000 0.0000
Pm 1.3931 1.6567 7.4997
Pm 2.2683 3.8273 10.1463
Pm 0.5178 -0.5139 4.8531
Pm 0.8750 2.1688 2.6482
Pm 1.9112 1.1446 12.3512
Pm 0.4924 6.7755 10.6146
Pm -2.4479 -2.3151 5.0122
Pm -1.2378 2.4820 5.3873
Pm -0.7177 1.9783 10.2395
Tm 1.7295 4.2879 5.2320
Tm -0.3364 -2.6313 2.2677
In -0.3817 4.6196 7.9496
In -1.5738 -0.1593 7.6772
In -2.1162 0.2931 2.7509
In 0.1607 4.1672 12.8759
```

**Size of the total moment**: 0.0000 μB per atom


<Q>
Density functional theory data (PBE) for crystalline Pm5TmIn2 at its relaxed geometry.

extended XYZ file:
```
8
Lattice="3.6233 0.0000 0.0000 1.8117 8.2854 -0.7458 1.8117 1.7816 8.1259" Properties=species:S:1:pos:R:3 pbc="T T T"
Pm 1.8117 5.0335 3.6901
Pm 3.6233 5.0840 0.7084
Pm 3.6233 4.9830 6.6717
Pm 3.6233 7.8618 2.7448
Pm 3.6233 2.2052 4.6353
Tm 0.0000 0.0000 0.0000
In 5.4350 7.8064 5.7229
In 1.8117 2.2606 1.6572
```

**Size of the total moment**: 0.0000 μB per atom


Which of them is most stable, and which least? Most stable: <P>; least stable: <Q>.


<P>
Density functional theory data (PBE) for crystalline PmTm3In3 at its relaxed geometry.

extended XYZ file:
```
28
Lattice="-7.5910 5.1671 -1.2568 -3.2045 -6.1929 -6.1058 -4.2438 -4.5663 6.8587" Properties=species:S:1:pos:R:3 pbc="T T T"
Pm -6.1697 -7.4879 3.1033
Pm -9.7059 2.0972 2.2718
Pm -6.7767 -2.5198 -0.2271
Pm -7.4263 -3.2738 -6.1559
Tm -8.0915 1.4752 -1.9181
Tm -13.2700 -4.9343 -0.4446
Tm -9.5967 -1.5653 -3.2116
Tm -5.3504 -5.7977 -3.0144
Tm -2.9946 -1.1135 -0.1003
Tm -7.8173 -6.5975 -0.4731
Tm -4.7394 -4.5804 1.7538
Tm -6.5879 -3.1253 4.2614
Tm -9.6700 -1.9080 2.7772
Tm -10.0489 -3.7365 -0.3367
Tm -6.6882 0.7169 1.1279
Tm -5.3810 -2.3866 -3.4449
In -11.4590 -4.6432 2.2772
In -7.6949 3.7026 0.2089
In -12.3420 -1.9366 -1.4067
In -3.6540 -3.9804 -1.1536
In -4.7431 -1.3786 2.4757
In -4.4235 -4.5620 -5.7083
In -4.4988 -5.3195 4.9426
In -8.0141 -4.6519 1.9639
In -5.2227 0.2947 -1.7784
In -10.7156 -6.2547 -2.0271
In -9.4530 -0.6005 -0.0524
In -8.0151 -4.2229 -2.7653
```

**Size of the total moment**: 0.0000 μB per atom


<Q>
Density functional theory data (PBE) for crystalline PmTm3In3 at its relaxed geometry.

extended XYZ file:
```
14
Lattice="5.1508 0.0000 0.0000 0.0000 9.3120 0.0000 0.0000 -4.6560 8.0644" Properties=species:S:1:pos:R:3 pbc="T T T"
Pm 1.2877 4.6560 2.6881
Pm 3.8631 0.0000 5.3763
Tm 1.2877 3.6069 6.2106
Tm 1.2877 2.1300 0.0183
Tm 1.2877 8.2311 1.8355
Tm 3.8631 1.0491 1.8538
Tm 3.8631 2.5260 8.0460
Tm 3.8631 -3.5751 6.2289
In 3.8631 3.2125 4.4194
In 3.8631 3.8784 0.5724
In 3.8631 6.8771 3.0726
In 1.2877 1.4435 3.6450
In 1.2877 0.7776 7.4920
In 1.2877 -2.2211 4.9918
```

**Size of the total moment**: 0.0000 μB per atom


Which of them is most stable, and which least? Most stable: <Q>; least stable: <P>.


<P>
Density functional theory data (PBE) for crystalline PmYTmIn at its relaxed geometry.

extended XYZ file:
```
4
Lattice="-0.7498 -4.7870 -0.4864 -0.1833 -0.4606 4.8156 -4.8411 0.7696 -0.1107" Properties=species:S:1:pos:R:3 pbc="T T T"
Pm -2.7955 -2.0087 -0.2985
Y -0.4666 -2.6238 2.1646
Tm -2.5122 0.1545 2.3524
In 0.0000 0.0000 0.0000
```

**Size of the total moment**: 0.1061 μB per atom


<Q>
Density functional theory data (PBE) for crystalline PmYTmIn at its relaxed geometry.

extended XYZ file:
```
4
Lattice="5.4695 0.0000 0.0000 2.7347 4.7367 0.0000 2.7347 1.5789 4.4658" Properties=species:S:1:pos:R:3 pbc="T T T"
Y 0.0000 0.0000 0.0000
Tm 5.4695 3.1578 2.2329
In 8.2042 4.7367 3.3493
Pm 2.7347 1.5789 1.1164
```

**Size of the total moment**: 0.3674 μB per atom


Which of them is most stable, and which least? Most stable: <P>; least stable: <Q>.


<P>
Density functional theory data (PBE) for crystalline PmTmZnIn at its relaxed geometry.

extended XYZ file:
```
4
Lattice="-1.0453 -2.8433 4.2736 -2.7748 -4.4241 -0.4116 2.3401 -4.6341 0.6997" Properties=species:S:1:pos:R:3 pbc="T T T"
Zn 0.0000 0.0000 0.0000
Tm -0.3700 -2.9754 1.1405
In -0.7400 -5.9508 2.2809
Pm -1.1099 -8.9261 3.4214
```

**Size of the total moment**: 0.0000 μB per atom


<Q>
Density functional theory data (PBE) for crystalline PmTmZnIn at its relaxed geometry.

extended XYZ file:
```
4
Lattice="3.6573 0.0000 0.0000 0.0000 3.6573 0.0000 0.0000 0.0000 7.5078" Properties=species:S:1:pos:R:3 pbc="T T T"
Pm 1.8286 1.8286 0.9376
Tm 1.8286 1.8286 4.3939
Zn 0.0000 0.0000 2.8212
In 0.0000 0.0000 6.3221
```

**Size of the total moment**: 0.0000 μB per atom


Which of them is most stable, and which least? Most stable: <Q>; least stable: <P>.